(one)
A relaxed structure of TbPr8Y6, computed with GGA-PBE.

```
TbPr8Y6
1.0
-4.276 4.568 -2.269
-2.477 -5.844 -7.098
-4.706 -0.296 8.273
Tb Y Pr
1 6 8
direct
0.500 0.000 0.000
0.343 0.095 0.437
0.657 0.905 0.563
0.343 0.342 0.905
0.343 0.563 0.658
0.657 0.658 0.095
0.657 0.437 0.342
0.167 0.287 0.248
0.122 0.667 0.333
0.833 0.039 0.287
0.167 0.752 0.039
0.833 0.248 0.961
0.878 0.333 0.667
0.833 0.713 0.752
0.167 0.961 0.713
```

Output
theoretical density	5.782	Mg/m³
symmetry	P-3

=====

(two)
A relaxed structure of TbPr8Y6, computed with GGA-PBE.

```
TbPr8Y6
1.0
9.229 0.000 0.000
4.615 7.993 0.000
4.615 2.664 7.048
Pr Y Tb
8 6 1
direct
0.246 0.285 0.582
0.114 0.754 0.418
0.422 0.422 0.733
0.578 0.578 0.267
0.886 0.246 0.582
0.715 0.114 0.418
0.285 0.886 0.582
0.754 0.715 0.418
0.461 0.905 0.883
0.905 0.750 0.883
0.750 0.461 0.883
0.539 0.095 0.117
0.095 0.250 0.117
0.250 0.539 0.117
0.000 0.000 0.000
```

Output
theoretical density	5.812	Mg/m³
symmetry	R-3

=====

Q: Which of them is the least stable? A: (one).